#A
AlCdTc2, relaxed, DFT PBE; total magnetization = 0.00 μB/f.u.; mass density = 8643 kg/m³; space group = P4mm (99)
1.0
3.0119 0.0000 0.0000
0.0000 3.0119 0.0000
0.0000 0.0000 7.1029
Al Cd Tc
1 1 2
direct
0.0000 0.0000 0.0000
0.5000 0.5000 0.2909
0.0000 0.0000 0.5735
0.5000 0.5000 0.7891

#B
AlCdTc2, relaxed, DFT PBE; total magnetization = 0.00 μB/f.u.; mass density = 8468 kg/m³; space group = P4/mmm (123)
1.0
3.2743 0.0000 0.0000
0.0000 3.2743 0.0000
0.0000 0.0000 6.1348
Al Cd Tc
1 1 2
direct
0.0000 0.0000 0.0000
0.0000 0.0000 0.5000
0.5000 0.5000 0.1945
0.5000 0.5000 0.8055

Most stable structure: #A

#A
AlCdTc2, relaxed, DFT PBE; total magnetization = 0.00 μB/f.u.; mass density = 8713 kg/m³; space group = P2/m (10)
1.0
2.7713 0.0000 0.0000
0.0000 4.3188 0.0000
-1.2582 0.0000 5.3406
Al Cd Tc
1 1 2
direct
0.0000 0.0000 0.0000
0.5000 0.0000 0.5000
0.2469 0.5000 0.7756
0.7531 0.5000 0.2244

#B
AlCdTc2, relaxed, DFT PBE; total magnetization = 0.00 μB/f.u.; mass density = 8876 kg/m³; space group = I-4m2 (119)
1.0
-2.1461 2.1461 3.4061
2.1461 -2.1461 3.4061
2.1461 2.1461 -3.4061
Al Cd Tc
1 1 2
direct
0.0000 0.0000 0.0000
0.2500 0.7500 0.5000
0.5000 0.5000 0.0000
0.7500 0.2500 0.5000

#C
AlCdTc2, relaxed, DFT PBE; total magnetization = 0.00 μB/f.u.; mass density = 8789 kg/m³; space group = Cmmm (65)
1.0
1.5880 -2.2312 0.0000
1.5880 2.2312 0.0000
0.0000 0.0000 8.9423
Al Cd Tc
1 1 2
direct
0.0000 0.0000 0.0000
0.0000 0.0000 0.5000
0.5000 0.5000 0.2294
0.5000 0.5000 0.7706

Most stable structure: #B

#A
AlCdTc2, relaxed, DFT PBE; total magnetization = 0.00 μB/f.u.; mass density = 8769 kg/m³; space group = P4/mmm (123)
1.0
3.8797 0.0000 0.0000
0.0000 3.8797 0.0000
0.0000 0.0000 4.2197
Al Cd Tc
1 1 2
direct
0.0000 0.0000 0.0000
0.5000 0.5000 0.0000
0.0000 0.5000 0.5000
0.5000 0.0000 0.5000

#B
AlCdTc2, relaxed, DFT PBE; total magnetization = 0.00 μB/f.u.; mass density = 8160 kg/m³; space group = I-42d (122)
1.0
-3.6104 3.6104 2.6181
3.6104 -3.6104 2.6181
3.6104 3.6104 -2.6181
Al Cd Tc
2 2 4
direct
0.0000 0.0000 0.0000
0.7500 0.2500 0.5000
0.2500 0.7500 0.5000
0.5000 0.5000 0.0000
0.0944 0.6250 0.9694
0.3750 0.3444 0.4694
0.6556 0.1250 0.0306
0.8750 0.9056 0.5306

#C
AlCdTc2, relaxed, DFT PBE; total magnetization = 0.00 μB/f.u.; mass density = 8796 kg/m³; space group = Imm2 (44)
1.0
-1.5534 2.2785 4.4723
1.5534 -2.2785 4.4723
1.5534 2.2785 -4.4723
Al Cd Tc
1 1 2
direct
0.0000 0.0000 0.0000
0.7382 0.2382 0.5000
0.2360 0.7360 0.5000
0.4699 0.4699 0.0000

Most stable structure: #C

#A
AlCdTc2, relaxed, DFT PBE; total magnetization = 0.00 μB/f.u.; mass density = 8794 kg/m³; space group = Immm (71)
1.0
-1.5603 2.2581 4.4939
1.5603 -2.2581 4.4939
1.5603 2.2581 -4.4939
Al Cd Tc
1 1 2
direct
0.0000 0.0000 0.0000
0.5000 0.5000 0.0000
0.2365 0.7365 0.5000
0.7635 0.2635 0.5000

#B
AlCdTc2, relaxed, DFT PBE; total magnetization = 0.00 μB/f.u.; mass density = 8869 kg/m³; space group = Fm-3m (225)
1.0
0.0000 3.1548 3.1548
3.1548 0.0000 3.1548
3.1548 3.1548 0.0000
Al Cd Tc
1 1 2
direct
0.0000 0.0000 0.0000
0.5000 0.5000 0.5000
0.2500 0.2500 0.2500
0.7500 0.7500 0.7500

Most stable structure: #A

#A
AlCdTc, relaxed, DFT PBE; total magnetization = 0.00 μB/f.u.; mass density = 8035 kg/m³; space group = P3m1 (156)
1.0
4.5000 0.0000 0.0000
-2.2500 3.8972 0.0000
0.0000 0.0000 2.7975
Al Cd Tc
1 1 1
direct
0.0000 0.0000 0.0000
0.6667 0.3333 0.2026
0.3333 0.6667 0.6660

#B
AlCdTc, relaxed, DFT PBE; total magnetization = 0.00 μB/f.u.; mass density = 7112 kg/m³; space group = F-43m (216)
1.0
0.0000 3.0262 3.0262
3.0262 0.0000 3.0262
3.0262 3.0262 0.0000
Al Cd Tc
1 1 1
direct
0.0000 0.0000 0.0000
0.2500 0.2500 0.2500
0.7500 0.7500 0.7500

#C
AlCdTc, relaxed, DFT PBE; total magnetization = 0.00 μB/f.u.; mass density = 7709 kg/m³; space group = Fmm2 (42)
1.0
0.0000 2.2251 6.6460
1.7289 0.0000 6.6460
1.7289 2.2251 0.0000
Al Cd Tc
1 1 1
direct
0.0000 0.0000 0.0000
0.6858 0.6858 0.3142
0.3605 0.3605 0.6395

#D
AlCdTc, relaxed, DFT PBE; total magnetization = 0.01 μB/f.u.; mass density = 7741 kg/m³; space group = I4mm (107)
1.0
-1.5999 1.5999 4.9736
1.5999 -1.5999 4.9736
1.5999 1.5999 -4.9736
Al Cd Tc
1 1 1
direct
0.0000 0.0000 0.0000
0.3016 0.3016 0.0000
0.6162 0.6162 0.0000

Most stable structure: #D

#A
Al2CdTc2, relaxed, DFT PBE; total magnetization = 0.00 μB/f.u.; mass density = 7735 kg/m³; space group = P4/mbm (127)
1.0
6.8586 0.0000 0.0000
0.0000 6.8586 0.0000
0.0000 0.0000 3.3074
Al Cd Tc
4 2 4
direct
0.1303 0.3697 0.0000
0.3697 0.8697 0.0000
0.6303 0.1303 0.0000
0.8697 0.6303 0.0000
0.0000 0.0000 0.0000
0.5000 0.5000 0.0000
0.1652 0.6652 0.5000
0.3348 0.1652 0.5000
0.6652 0.8348 0.5000
0.8348 0.3348 0.5000

#B
Al2CdTc2, relaxed, DFT PBE; total magnetization = 0.00 μB/f.u.; mass density = 7267 kg/m³; space group = P4/mbm (127)
1.0
7.4629 0.0000 0.0000
0.0000 7.4629 0.0000
0.0000 0.0000 2.9735
Al Cd Tc
4 2 4
direct
0.1765 0.3235 0.0000
0.3235 0.8235 0.0000
0.6765 0.1765 0.0000
0.8235 0.6765 0.0000
0.0000 0.0000 0.5000
0.5000 0.5000 0.5000
0.1144 0.6144 0.5000
0.3856 0.1144 0.5000
0.6144 0.8856 0.5000
0.8856 0.3856 0.5000

Most stable structure: #A

#A
AlCdTe, relaxed, DFT PBE; total magnetization = 0.00 μB/f.u.; mass density = 5820 kg/m³; space group = Fmm2 (42)
1.0
0.0000 2.6720 7.7840
1.8313 0.0000 7.7840
1.8313 2.6720 0.0000
Al Cd Te
1 1 1
direct
0.0000 0.0000 0.0000
0.6588 0.6588 0.3412
0.3566 0.3566 0.6434

#B
AlCdTe, relaxed, DFT PBE; total magnetization = 0.00 μB/f.u.; mass density = 5941 kg/m³; space group = I4mm (107)
1.0
-1.7733 1.7733 5.9330
1.7733 -1.7733 5.9330
1.7733 1.7733 -5.9330
Al Cd Te
1 1 1
direct
0.0000 0.0000 0.0000
0.3379 0.3379 0.0000
0.6293 0.6293 0.0000

Most stable structure: #B

#A
AlCdTe, relaxed, DFT PBE; total magnetization = 0.00 μB/f.u.; mass density = 5910 kg/m³; space group = P3m1 (156)
1.0
5.3583 0.0000 0.0000
-2.6791 4.6404 0.0000
0.0000 0.0000 3.0170
Al Cd Te
1 1 1
direct
0.0000 0.0000 0.0000
0.6667 0.3333 0.5125
0.3333 0.6667 0.9981

#B
AlCdTe, relaxed, DFT PBE; total magnetization = 0.00 μB/f.u.; mass density = 5576 kg/m³; space group = P3m1 (156)
1.0
4.0331 0.0000 0.0000
-2.0165 3.4927 0.0000
0.0000 0.0000 5.6449
Al Cd Te
1 1 1
direct
0.0000 0.0000 0.0000
0.6667 0.3333 0.3162
0.3333 0.6667 0.7285

Most stable structure: #B

#A
TiAl2Cd2, relaxed, DFT PBE; total magnetization = 0.00 μB/f.u.; mass density = 5633 kg/m³; space group = P4/mbm (127)
1.0
7.8980 0.0000 0.0000
0.0000 7.8980 0.0000
0.0000 0.0000 3.0872
Ti Al Cd
2 4 4
direct
0.0000 0.0000 0.0000
0.5000 0.5000 0.0000
0.1752 0.3248 0.5000
0.3248 0.8248 0.5000
0.6752 0.1752 0.5000
0.8248 0.6752 0.5000
0.1285 0.6285 0.0000
0.3715 0.1285 0.0000
0.6285 0.8715 0.0000
0.8715 0.3715 0.0000

#B
TiAl2Cd2, relaxed, DFT PBE; total magnetization = 0.00 μB/f.u.; mass density = 5680 kg/m³; space group = P4/mbm (127)
1.0
7.6813 0.0000 0.0000
0.0000 7.6813 0.0000
0.0000 0.0000 3.2373
Ti Al Cd
2 4 4
direct
0.0000 0.0000 0.0000
0.5000 0.5000 0.0000
0.1286 0.3714 0.0000
0.3714 0.8714 0.0000
0.6286 0.1286 0.0000
0.8714 0.6286 0.0000
0.1718 0.6718 0.5000
0.3282 0.1718 0.5000
0.6718 0.8282 0.5000
0.8282 0.3282 0.5000

Most stable structure: #B

#A
Ti3AlCd, relaxed, DFT PBE; total magnetization = 0.00 μB/f.u.; mass density = 3965 kg/m³; space group = Pm-3m (221)
1.0
4.9121 0.0000 0.0000
0.0000 4.9121 0.0000
0.0000 0.0000 4.9121
Ti Al Cd
3 1 1
direct
0.0000 0.0000 0.5000
0.0000 0.5000 0.0000
0.5000 0.0000 0.0000
0.5000 0.5000 0.5000
0.0000 0.0000 0.0000

#B
Ti3AlCd, relaxed, DFT PBE; total magnetization = 0.00 μB/f.u.; mass density = 4416 kg/m³; space group = Pm-3m (221)
1.0
4.7386 0.0000 0.0000
0.0000 4.7386 0.0000
0.0000 0.0000 4.7386
Ti Al Cd
3 1 1
direct
0.0000 0.0000 0.5000
0.0000 0.5000 0.0000
0.5000 0.0000 0.0000
0.0000 0.0000 0.0000
0.5000 0.5000 0.5000

Most stable structure: #B

#A
TiAlCd3, relaxed, DFT PBE; total magnetization = 0.00 μB/f.u.; mass density = 5496 kg/m³; space group = Pm-3m (221)
1.0
4.9934 0.0000 0.0000
0.0000 4.9934 0.0000
0.0000 0.0000 4.9934
Ti Al Cd
1 1 3
direct
0.0000 0.0000 0.0000
0.5000 0.5000 0.5000
0.0000 0.5000 0.5000
0.5000 0.0000 0.5000
0.5000 0.5000 0.0000

#B
TiAlCd3, relaxed, DFT PBE; total magnetization = 3.06 μB/f.u.; mass density = 4335 kg/m³; space group = Pm-3m (221)
1.0
5.4043 0.0000 0.0000
0.0000 5.4043 0.0000
0.0000 0.0000 5.4043
Ti Al Cd
1 1 3
direct
0.0000 0.0000 0.0000
0.5000 0.5000 0.5000
0.0000 0.0000 0.5000
0.0000 0.5000 0.0000
0.5000 0.0000 0.0000

Most stable structure: #A

#A
AlTlCd3, relaxed, DFT PBE; total magnetization = 0.00 μB/f.u.; mass density = 5472 kg/m³; space group = Pm-3m (221)
1.0
5.5671 0.0000 0.0000
0.0000 5.5671 0.0000
0.0000 0.0000 5.5671
Al Tl Cd
1 1 3
direct
0.0000 0.0000 0.0000
0.5000 0.5000 0.5000
0.0000 0.5000 0.5000
0.5000 0.0000 0.5000
0.5000 0.5000 0.0000

#B
AlTlCd3, relaxed, DFT PBE; total magnetization = 0.00 μB/f.u.; mass density = 6369 kg/m³; space group = Pm-3m (221)
1.0
5.2925 0.0000 0.0000
0.0000 5.2925 0.0000
0.0000 0.0000 5.2925
Al Tl Cd
1 1 3
direct
0.0000 0.0000 0.0000
0.5000 0.5000 0.5000
0.0000 0.0000 0.5000
0.0000 0.5000 0.0000
0.5000 0.0000 0.0000

Most stable structure: #B